Record 1
Computed, not measured: crystalline TbPrTh at its relaxed geometry at the PBE level of DFT.

Cell: 3.6123 3.6123 8.8862 Å, 90.00 90.00 120.00°
Last column: nearest neighbours and their distance in Å.
Atoms (fractional coordinates):
Pr: 0.0000 0.0000 0.9921  3 Th 3.60, 6 Pr 3.61, 3 Tb 3.77
Tb: 0.6667 0.3333 0.3455  3 Th 3.50, 6 Tb 3.61, 3 Pr 3.77
Th: 0.3333 0.6667 0.6624  3 Tb 3.50, 3 Pr 3.60, 6 Th 3.61

Output
The symmetry is No. 156. Its total moment is 0.00 μB/cell. As for the density of states at the Fermi level: 4.85 states/eV per cell.



Record 2
Computed, not measured: crystalline Sm8AsS5 at its relaxed geometry at the PBE level of DFT.

Cell: 7.8044 7.8044 7.8044 Å, 103.64 103.64 121.90°
Last column: nearest neighbours and their distance in Å.
Atoms (fractional coordinates):
Sm: 0.0647 0.8124 0.1650  3 S 2.76-2.85, 1 As 2.95
Sm: 0.1876 0.3526 0.2523  3 S 2.76-2.85, 1 As 2.95
Sm: 0.6451 0.8939 0.3331  4 S 2.77-2.94
Sm: 0.1061 0.4391 0.7511  4 S 2.77-2.94
Sm: 0.6880 0.3549 0.2489  4 S 2.77-2.94
Sm: 0.1003 0.9353 0.7477  3 S 2.76-2.85, 1 As 2.95
Sm: 0.6474 0.8997 0.8350  3 S 2.76-2.85, 1 As 2.95
Sm: 0.5609 0.3120 0.6669  4 S 2.77-2.94
As: 0.2500 0.7500 0.5000  4 Sm 2.95
S: 0.8753 0.3563 0.9799  6 Sm 2.76-2.85
S: 0.6437 0.6236 0.5190  6 Sm 2.76-2.85
S: 0.3764 0.8954 0.0201  6 Sm 2.76-2.85
S: 0.5000 0.5000 0.0000  4 Sm 2.94
S: 0.1046 0.1247 0.4810  6 Sm 2.76-2.85

Output
The uncorrected formation energy comes out at -1.539 eV per atom. The symmetry is No. 82. Its total moment is 0.00 μB/cell. As for the density of states at the Fermi level: 9.50 states/eV per cell.



Record 3
Computed, not measured: crystalline TlOF2 at its relaxed geometry at the PBE level of DFT.

Cell: 7.3619 7.3619 7.3619 Å, 26.89 26.89 26.89°
Last column: nearest neighbours and their distance in Å.
Atoms (fractional coordinates):
Tl: 0.0000 0.0000 0.0000  2 F 2.32
O: 0.5000 0.5000 0.5000  6 F 2.33
F: 0.8911 0.8911 0.8911  1 Tl 2.32, 3 O 2.33
F: 0.1089 0.1089 0.1089  1 Tl 2.32, 3 O 2.33

Output
The uncorrected formation energy comes out at -0.039 eV per atom. The symmetry is No. 166. Its total moment is 3.00 μB/cell. As for the density of states at the Fermi level: 0.14 states/eV per cell.



Record 4
Computed, not measured: crystalline GeBSe2N at its relaxed geometry at the PBE level of DFT.

Cell: 6.1821 6.1821 2.5989 Å, 90.00 90.00 90.00°
Last column: nearest neighbours and their distance in Å.
Atoms (fractional coordinates):
Ge: 0.5000 0.5000 0.5000  2 Ge 2.60
B: 0.0000 0.0000 0.0000  2 N 1.30
Se: 0.0000 0.5000 0.0000  2 Se 2.60
Se: 0.5000 0.0000 0.0000  2 Se 2.60
N: 0.0000 0.0000 0.5000  2 B 1.30

Output
The uncorrected formation energy comes out at 0.194 eV per atom. The symmetry is No. 123. Its total moment is 0.00 μB/cell. As for the density of states at the Fermi level: 3.69 states/eV per cell.



Record 5
Computed, not measured: crystalline Pr2Si4Ir3Rh at its relaxed geometry at the PBE level of DFT.

Cell: 4.2116 4.2116 9.9045 Å, 90.00 90.00 90.00°
Last column: nearest neighbours and their distance in Å.
Atoms (fractional coordinates):
Pr: 0.5000 0.0000 0.2441  6 Ir 3.20-3.30, 8 Si 3.21-3.23, 2 Rh 3.30
Pr: 0.0000 0.5000 0.7559  6 Ir 3.20-3.30, 8 Si 3.21-3.23, 2 Rh 3.30
Si: 0.5000 0.5000 0.0000  4 Ir 2.45
Si: 0.0000 0.0000 0.0000  4 Ir 2.45
Si: 0.5000 0.0000 0.6288  3 Ir 2.43-2.46, 2 Rh 2.46
Si: 0.0000 0.5000 0.3712  3 Ir 2.43-2.46, 2 Rh 2.46
Ir: 0.0000 0.0000 0.5000  4 Si 2.46
Ir: 0.5000 0.0000 0.8742  5 Si 2.43-2.45
Ir: 0.0000 0.5000 0.1258  5 Si 2.43-2.45
Rh: 0.5000 0.5000 0.5000  4 Si 2.46

Output
The uncorrected formation energy comes out at -1.032 eV per atom. The symmetry is No. 115. Its total moment is 0.00 μB/cell. As for the density of states at the Fermi level: 5.54 states/eV per cell.



Record 6
Computed, not measured: crystalline MgPaBiO6 at its relaxed geometry at the PBE level of DFT.

Cell: 4.8763 5.3708 5.3708 Å, 120.00 90.00 90.00°
Last column: nearest neighbours and their distance in Å.
Atoms (fractional coordinates):
Mg: 0.5000 0.6667 0.3333  6 O 2.12
Pa: 0.0000 0.3333 0.6667  6 O 2.21
Bi: 0.5000 0.0000 0.0000  6 O 2.14
O: 0.7397 0.6677 0.6637  1 Mg 2.12, 1 Bi 2.14, 1 Pa 2.21
O: 0.7397 0.3363 0.0040  1 Mg 2.12, 1 Bi 2.14, 1 Pa 2.21
O: 0.7397 0.9960 0.3323  1 Mg 2.12, 1 Bi 2.14, 1 Pa 2.21
O: 0.2603 0.3363 0.3323  1 Mg 2.12, 1 Bi 2.14, 1 Pa 2.21
O: 0.2603 0.6677 0.0040  1 Mg 2.12, 1 Bi 2.14, 1 Pa 2.21
O: 0.2603 0.9960 0.6637  1 Mg 2.12, 1 Bi 2.14, 1 Pa 2.21

Output
The uncorrected formation energy comes out at -2.293 eV per atom. The symmetry is No. 149. Its total moment is 0.00 μB/cell.



Record 7
Computed, not measured: crystalline PuGe2Rh3 at its relaxed geometry at the PBE level of DFT.

Cell: 4.0137 8.5185 9.7713 Å, 107.20 90.00 103.63°
Last column: nearest neighbours and their distance in Å.
Atoms (fractional coordinates):
Pu: 0.1651 0.3303 0.7073  6 Ge 3.10-3.16, 7 Rh 3.13-3.46
Pu: 0.8349 0.6697 0.2927  6 Ge 3.10-3.16, 7 Rh 3.13-3.46
Pu: 0.0000 0.0000 0.0000  6 Rh 3.01-3.10, 6 Ge 3.04-3.17
Ge: 0.1918 0.3836 0.1250  6 Rh 2.49-2.57
Ge: 0.8082 0.6164 0.8750  6 Rh 2.49-2.57
Ge: 0.4599 0.9198 0.2220  5 Rh 2.46-2.67
Ge: 0.5401 0.0802 0.7780  5 Rh 2.46-2.67
Ge: 0.3615 0.7229 0.5441  7 Rh 2.42-2.63
Ge: 0.6385 0.2771 0.4559  7 Rh 2.42-2.63
Rh: 0.0411 0.0822 0.3318  4 Ge 2.47-2.63, 1 Rh 2.76
Rh: 0.9589 0.9178 0.6682  4 Ge 2.47-2.63, 1 Rh 2.76
Rh: 0.2154 0.4307 0.3921  4 Ge 2.42-2.55
Rh: 0.7846 0.5693 0.6079  4 Ge 2.42-2.55
Rh: 0.6155 0.2311 0.1938  4 Ge 2.47-2.67
Rh: 0.3845 0.7689 0.8062  4 Ge 2.47-2.67
Rh: 0.5000 0.0000 0.5000  4 Ge 2.46-2.59
Rh: 0.3194 0.6387 0.0407  4 Ge 2.46-2.55
Rh: 0.6806 0.3613 0.9593  4 Ge 2.46-2.55

Output
The symmetry is No. 12. Its total moment is 14.90 μB/cell. As for the density of states at the Fermi level: 42.99 states/eV per cell.



Record 8
Computed, not measured: crystalline Dy8YTh2 at its relaxed geometry at the PBE level of DFT.

Cell: 5.5756 10.0698 10.0698 Å, 40.91 92.06 92.06°
Last column: nearest neighbours and their distance in Å.
Atoms (fractional coordinates):
Dy: 0.2626 0.1395 0.5981  4 Dy 3.23-3.56, 2 Th 3.42-3.56, 1 Y 3.49
Dy: 0.2626 0.5981 0.1395  4 Dy 3.23-3.56, 2 Th 3.42-3.56, 1 Y 3.49
Dy: 0.7374 0.8605 0.4019  4 Dy 3.23-3.56, 2 Th 3.42-3.56, 1 Y 3.49
Dy: 0.2370 0.5468 0.5468  2 Dy 3.12-3.48, 1 Th 3.23
Dy: 0.7374 0.4019 0.8605  4 Dy 3.23-3.56, 2 Th 3.42-3.56, 1 Y 3.49
Dy: 0.2327 0.1824 0.1824  4 Th 3.33-3.59, 4 Dy 3.46-3.56, 1 Y 3.63
Dy: 0.7673 0.8176 0.8176  4 Th 3.33-3.59, 4 Dy 3.46-3.56, 1 Y 3.63
Dy: 0.7630 0.4532 0.4532  2 Dy 3.12-3.48, 1 Th 3.23
Y: 0.0000 0.0000 0.0000  10 Dy 3.49-3.85
Th: 0.7383 0.2818 0.2818  9 Dy 3.23-3.59
Th: 0.2617 0.7182 0.7182  9 Dy 3.23-3.59

Output
The symmetry is No. 12. Its total moment is 0.00 μB/cell. As for the density of states at the Fermi level: 16.81 states/eV per cell.



Record 9
Computed, not measured: crystalline NaPuN2 at its relaxed geometry at the PBE level of DFT.

Cell: 3.4801 3.4801 5.9565 Å, 73.01 73.01 60.00°
Last column: nearest neighbours and their distance in Å.
Atoms (fractional coordinates):
Na: 0.5000 0.5000 0.5000  6 N 2.69
Pu: 0.0000 0.0000 0.0000  6 N 2.25
N: 0.7268 0.7268 0.8200  3 Pu 2.25
N: 0.2732 0.2732 0.1800  3 Pu 2.25

Output
The uncorrected formation energy comes out at -0.803 eV per atom. The symmetry is No. 166. Its total moment is 3.00 μB/cell. As for the density of states at the Fermi level: 6.07 states/eV per cell.



Record 10
Computed, not measured: crystalline RbNiI2N at its relaxed geometry at the PBE level of DFT.

Cell: 6.7419 6.7419 5.3531 Å, 90.00 90.00 90.00°
Last column: nearest neighbours and their distance in Å.
Atoms (fractional coordinates):
I: 0.0000 0.5000 0.0000  2 Rb 3.37
I: 0.5000 0.0000 0.0000  2 Rb 3.37
Ni: 0.5000 0.5000 0.5000  8 I 4.30, 4 N 4.77
Rb: 0.0000 0.0000 0.0000  2 N 2.68
N: 0.0000 0.0000 0.5000  2 Rb 2.68

Output
The uncorrected formation energy comes out at 1.423 eV per atom. The symmetry is No. 123. Its total moment is 4.02 μB/cell. As for the density of states at the Fermi level: 11.30 states/eV per cell.



no.,electronic total energy (eV/atom)
1,-5.58
2,-6.04
3,-2.81
4,-5.12
5,-7.55
6,-7.26
7,-8.23
8,-5.09
9,-8.88
10,-2.21